(1)
LaV2Au | GGA-PBE | optimized geometry

The energy above the lowest structure with this stoichiometry is 0 meV per atom. The total energy is -0.4568 Ry per atom. The calculation puts the volume at 23.5 Å³/atom. The energy of formation from the pure elements comes out at 0.40 eV/atom.

a = 4.344 Å, b = 4.344 Å, c = 19.903 Å
α = 90.00°, β = 90.00°, γ = 90.00°
Space group I-42d (No. 122)
Inequivalent atoms, fractional coordinates:
La 0.000 0.000 0.000 x4
V 0.020 0.250 0.625 x8
Au 0.000 0.000 0.500 x4

(2)
La2VAu | GGA-PBE | optimized geometry

The energy above the lowest structure with this stoichiometry is 237 meV per atom. The total energy is -0.3958 Ry per atom. The calculation puts the volume at 26.6 Å³/atom. The energy of formation from the pure elements comes out at 0.18 eV/atom.

a = 8.226 Å, b = 8.226 Å, c = 6.293 Å
α = 90.00°, β = 90.00°, γ = 90.00°
Space group I-42d (No. 122)
Inequivalent atoms, fractional coordinates:
La 0.243 0.750 0.125 x8
V 0.000 0.000 0.000 x4
Au 0.000 0.000 0.500 x4

(3)
LaV3Au | GGA-PBE | optimized geometry

The energy above the lowest structure with this stoichiometry is 521 meV per atom. The total energy is -0.4125 Ry per atom. The calculation puts the volume at 18.6 Å³/atom. The energy of formation from the pure elements comes out at 1.50 eV/atom.

a = 4.531 Å, b = 4.531 Å, c = 4.531 Å
α = 90.00°, β = 90.00°, γ = 90.00°
Space group Pm-3m (No. 221)
Inequivalent atoms, fractional coordinates:
La 0.000 0.000 0.000 x1
V 0.000 0.000 0.500 x3
Au 0.500 0.500 0.500 x1

(4)
LaVAu2 | GGA-PBE | optimized geometry

The energy above the lowest structure with this stoichiometry is 0 meV per atom. The total energy is -0.3962 Ry per atom. The calculation puts the volume at 22.5 Å³/atom. The energy of formation from the pure elements comes out at -0.24 eV/atom.

a = 7.116 Å, b = 7.116 Å, c = 7.116 Å
α = 90.00°, β = 90.00°, γ = 90.00°
Space group Fm-3m (No. 225)
Inequivalent atoms, fractional coordinates:
La 0.000 0.000 0.000 x4
V 0.000 0.000 0.500 x4
Au 0.250 0.250 0.250 x8

(5)
LaVAu2 | GGA-PBE | optimized geometry

The energy above the lowest structure with this stoichiometry is 318 meV per atom. The total energy is -0.3728 Ry per atom. The calculation puts the volume at 26.7 Å³/atom. The energy of formation from the pure elements comes out at 0.08 eV/atom.

a = 4.934 Å, b = 4.934 Å, c = 17.580 Å
α = 90.00°, β = 90.00°, γ = 90.00°
Space group I-42d (No. 122)
Inequivalent atoms, fractional coordinates:
La 0.000 0.000 0.000 x4
V 0.000 0.000 0.500 x4
Au 0.142 0.250 0.625 x8

(6)
LaV3Au | GGA-PBE | optimized geometry

The energy above the lowest structure with this stoichiometry is 0 meV per atom. The total energy is -0.4508 Ry per atom. The calculation puts the volume at 24.5 Å³/atom. The energy of formation from the pure elements comes out at 0.98 eV/atom.

a = 4.967 Å, b = 4.967 Å, c = 4.967 Å
α = 90.00°, β = 90.00°, γ = 90.00°
Space group Pm-3m (No. 221)
Inequivalent atoms, fractional coordinates:
La 0.000 0.000 0.000 x1
V 0.000 0.500 0.500 x3
Au 0.500 0.500 0.500 x1